Record 1
First-principles (PBE+U) data for a relaxed MoClF3 crystal, as listed in Alexandria via LeMat-Bulk.

For the theoretical density, the calculation gives 4.1 g/cm³. The value obtained for the calculated total energy is -23.1 eV/cell. The calculation puts the density of states at the Fermi level at 9.34 states/eV per cell. The excess energy over the best structure of this formula in the dataset is 316.3 meV/atom.

The structure belongs to space group Pm-3m (No. 221); the cell edges are 4.236, 4.236 and 4.236 Å and the angles 90.00°, 90.00° and 90.00°. The inequivalent atoms are Mo at (0.000, 0.000, 0.000), Cl at (0.500, 0.500, 0.500) and F at (0.000, 0.000, 0.500).

---

Record 2
First-principles (PBE+U) data for a relaxed MoClF2 crystal, as listed in Alexandria via LeMat-Bulk.

For the theoretical density, the calculation gives 4.1 g/cm³. The value obtained for the calculated total energy is -48.4 eV/cell. The calculation puts the density of states at the Fermi level at 6.05 states/eV per cell. The excess energy over the best structure of this formula in the dataset is 485.0 meV/atom.

The structure belongs to space group R-3m (No. 166, hexagonal axes); the cell edges are 2.8220, 2.8220 and 29.6313 Å and the angles 90.00°, 90.00° and 120.00°. The inequivalent atoms are Mo at (0.0000, 0.0000, 0.0000), Cl at (0.0000, 0.0000, 0.5000) and F at (0.0000, 0.0000, 0.3834).

---

Record 3
First-principles (PBE+U) data for a relaxed MoClF3 crystal, as listed in Alexandria via LeMat-Bulk.

For the theoretical density, the calculation gives 3.6 g/cm³. The value obtained for the calculated total energy is -15.2 eV/cell. The calculation puts the density of states at the Fermi level at 9.22 states/eV per cell. The excess energy over the best structure of this formula in the dataset is 1886.4 meV/atom.

The structure belongs to space group Pm-3m (No. 221); the cell edges are 4.410, 4.410 and 4.410 Å and the angles 90.00°, 90.00° and 90.00°. The inequivalent atoms are Mo at (0.000, 0.000, 0.000), Cl at (0.500, 0.500, 0.500) and F at (0.000, 0.500, 0.500).

---

Record 4
First-principles (PBE+U) data for a relaxed MoClF3 crystal, as listed in Alexandria via LeMat-Bulk.

For the theoretical density, the calculation gives 3.6 g/cm³. The value obtained for the calculated total energy is -98.5 eV/cell. The calculation puts the density of states at the Fermi level at 0.00 states/eV per cell. The excess energy over the best structure of this formula in the dataset is 0.0 meV/atom.

The structure belongs to space group P4_1 (No. 76); the cell edges are 5.873, 5.873 and 10.075 Å and the angles 90.00°, 90.00° and 90.00°. The inequivalent atoms are Mo at (0.135, 0.637, 0.000), Cl at (0.191, 0.387, 0.618), F at (0.048, 0.208, 0.341), F at (0.108, 0.357, 0.910) and F at (0.303, 0.445, 0.149).

---

Record 5
First-principles (PBE+U) data for a relaxed Mo3ClF crystal, as listed in Alexandria via LeMat-Bulk.

For the theoretical density, the calculation gives 4.4 g/cm³. The value obtained for the calculated total energy is -21.1 eV/cell. The calculation puts the density of states at the Fermi level at 0.52 states/eV per cell. The excess energy over the best structure of this formula in the dataset is 0.0 meV/atom.

The structure belongs to space group Pm-3m (No. 221); the cell edges are 5.061, 5.061 and 5.061 Å and the angles 90.00°, 90.00° and 90.00°. The inequivalent atoms are Mo at (0.000, 0.000, 0.500), Cl at (0.500, 0.500, 0.500) and F at (0.000, 0.000, 0.000).

---

Record 6
First-principles (PBE+U) data for a relaxed MoCl3F crystal, as listed in Alexandria via LeMat-Bulk.

For the theoretical density, the calculation gives 3.1 g/cm³. The value obtained for the calculated total energy is -17.2 eV/cell. The calculation puts the density of states at the Fermi level at 9.22 states/eV per cell. The excess energy over the best structure of this formula in the dataset is 0.0 meV/atom.

The structure belongs to space group Pm-3m (No. 221); the cell edges are 4.929, 4.929 and 4.929 Å and the angles 90.00°, 90.00° and 90.00°. The inequivalent atoms are Mo at (0.000, 0.000, 0.000), Cl at (0.000, 0.000, 0.500) and F at (0.500, 0.500, 0.500).

---

Record 7
First-principles (PBE+U) data for a relaxed MoClF3 crystal, as listed in Alexandria via LeMat-Bulk.

For the theoretical density, the calculation gives 3.2 g/cm³. The value obtained for the calculated total energy is -98.0 eV/cell. The excess energy over the best structure of this formula in the dataset is 28.3 meV/atom.

The structure belongs to space group P2_1/c (No. 14); the cell edges are 8.510, 5.168 and 11.981 Å and the angles 90.00°, 131.95° and 90.00°. The inequivalent atoms are Mo at (0.239, 0.009, 0.364), Cl at (0.264, 0.197, 0.203), F at (0.008, 0.240, 0.806), F at (0.224, 0.662, 0.999) and F at (0.496, 0.724, 0.953).

---

Record 8
First-principles (PBE+U) data for a relaxed MoClF2 crystal, as listed in Alexandria via LeMat-Bulk.

For the theoretical density, the calculation gives 5.2 g/cm³. The value obtained for the calculated total energy is -61.7 eV/cell. The calculation puts the density of states at the Fermi level at 21.94 states/eV per cell. The excess energy over the best structure of this formula in the dataset is 661.4 meV/atom.

The structure belongs to space group Fm-3m (No. 225); the cell edges are 6.020, 6.020 and 6.020 Å and the angles 90.00°, 90.00° and 90.00°. The inequivalent atoms are Mo at (0.000, 0.000, 0.000), Cl at (0.000, 0.000, 0.500) and F at (0.250, 0.250, 0.250).

---

Record 9
First-principles (PBE+U) data for a relaxed MoCl3F6 crystal, as listed in Alexandria via LeMat-Bulk.

For the theoretical density, the calculation gives 2.6 g/cm³. The value obtained for the calculated total energy is -78.6 eV/cell. The calculation puts the density of states at the Fermi level at 0.94 states/eV per cell.

The structure belongs to space group C2/m (No. 12); the cell edges are 10.390, 5.534 and 6.935 Å and the angles 90.00°, 93.14° and 90.00°. The inequivalent atoms are Mo at (0.000, 0.000, 0.000), Cl at (0.000, 0.500, 0.500), Cl at (0.219, 0.500, 0.505), F at (0.043, 0.000, 0.742) and F at (0.123, 0.239, 0.057).

---

Record 10
First-principles (PBE+U) data for a relaxed MoCl3F crystal, as listed in Alexandria via LeMat-Bulk.

For the theoretical density, the calculation gives 3.5 g/cm³. The value obtained for the calculated total energy is -12.5 eV/cell. The calculation puts the density of states at the Fermi level at 6.50 states/eV per cell. The excess energy over the best structure of this formula in the dataset is 938.3 meV/atom.

The structure belongs to space group Pm-3m (No. 221); the cell edges are 4.709, 4.709 and 4.709 Å and the angles 90.00°, 90.00° and 90.00°. The inequivalent atoms are Mo at (0.000, 0.000, 0.000), Cl at (0.000, 0.500, 0.500) and F at (0.500, 0.500, 0.500).

---

Record 11
First-principles (PBE+U) data for a relaxed MoNClF2 crystal, as listed in Alexandria via LeMat-Bulk.

For the theoretical density, the calculation gives 3.8 g/cm³. The value obtained for the calculated total energy is -18.2 eV/cell. The calculation puts the density of states at the Fermi level at 3.32 states/eV per cell. The excess energy over the best structure of this formula in the dataset is 1253.6 meV/atom.

The structure belongs to space group P4/mmm (No. 123); the cell edges are 4.849, 4.849 and 3.375 Å and the angles 90.00°, 90.00° and 90.00°. The inequivalent atoms are Mo at (0.000, 0.000, 0.000), N at (0.500, 0.500, 0.000), Cl at (0.500, 0.500, 0.500) and F at (0.000, 0.500, 0.500).

---

Record 12
First-principles (PBE+U) data for a relaxed MoNClF2 crystal, as listed in Alexandria via LeMat-Bulk.

For the theoretical density, the calculation gives 4.3 g/cm³. The value obtained for the calculated total energy is -24.4 eV/cell. The calculation puts the density of states at the Fermi level at 2.26 states/eV per cell. The excess energy over the best structure of this formula in the dataset is 0.0 meV/atom.

The structure belongs to space group P4/mmm (No. 123); the cell edges are 4.156, 4.156 and 4.132 Å and the angles 90.00°, 90.00° and 90.00°. The inequivalent atoms are Mo at (0.000, 0.000, 0.000), N at (0.000, 0.000, 0.500), Cl at (0.500, 0.500, 0.500) and F at (0.000, 0.500, 0.000).